No. 1
Computed, not measured: a relaxed Pr5Dy crystal at the PBE level of DFT.

Its density of states at the Fermi level is 1.565 states/eV per atom. The calculation puts the formation energy from the elements at 0.015 eV/atom.

Unit cell a=8.2569 b=8.2569 c=5.2117 alpha=90.00 beta=90.00 gamma=143.25
Closest atoms and distances in Å follow each position.
Sites, in units of the cell vectors:
Pr (0.0000, 0.0000, 0.0000)  8 Pr 3.67-3.68, 4 Dy 3.68
Pr (0.1651, 0.8349, 0.5000)  2 Dy 3.67, 10 Pr 3.67-3.72
Pr (0.3341, 0.6659, 0.0000)  10 Pr 3.68-3.72, 2 Dy 3.68
Pr (0.6659, 0.3341, 0.0000)  10 Pr 3.68-3.72, 2 Dy 3.68
Pr (0.8349, 0.1651, 0.5000)  2 Dy 3.67, 10 Pr 3.67-3.72
Dy (0.5000, 0.5000, 0.5000)  12 Pr 3.67-3.68

No. 2
Computed, not measured: a relaxed Na3H4N2 crystal at the PBE level of DFT.

Its density of states at the Fermi level is 0.065 states/eV per atom. The calculated total energy is -34.41 eV per cell.

Unit cell a=4.6165 b=4.6165 c=9.4554 alpha=90.43 beta=90.43 gamma=34.99
Closest atoms and distances in Å follow each position.
Sites, in units of the cell vectors:
Na (0.0000, 0.0000, 0.0000)  2 Na 2.78, 4 H 2.97
Na (0.3606, 0.3606, 0.3889)  1 H 2.19, 2 N 2.38-2.44
Na (0.6394, 0.6394, 0.6111)  1 H 2.19, 2 N 2.38-2.44
H (0.1127, 0.1127, 0.3642)  2 N 1.40
H (0.3566, 0.3566, 0.7555)  1 N 1.04
H (0.6434, 0.6434, 0.2445)  1 N 1.04
H (0.8873, 0.8873, 0.6358)  2 N 1.40
N (0.3719, 0.3719, 0.6471)  1 H 1.04
N (0.6281, 0.6281, 0.3529)  1 H 1.04